Density functional theory data (PBE-GGA) for a geometry-optimized Pm2PrNd5 structure.

Cell and atoms, written as POSCAR:
```
Pm2PrNd5
1.0
7.355 0.000 0.000
0.000 14.707 0.000
0.000 0.000 5.200
Pm Pr Nd
4 2 10
Direct
0.249 0.125 0.000
0.251 0.625 0.000
0.749 0.375 0.000
0.751 0.875 0.000
0.000 0.000 0.500
0.500 0.500 0.500
0.000 0.500 0.500
0.001 0.750 0.500
0.249 0.375 0.000
0.251 0.875 0.000
0.499 0.250 0.500
0.500 0.000 0.500
0.501 0.750 0.500
0.749 0.125 0.000
0.751 0.625 0.000
0.999 0.250 0.500
```

**M_tot**: 0.0 μB/f.u.
**Volume**: 35.16 A^3/atom
**Energy**: -38.02 eV per formula unit
**Formation energy**: 0.013 eV/atom